1.
The following is a PBEsol calculation of a relaxed Ba2ErMoO6 crystal, from Alexandria via LeMat-Bulk.

SG: Fm-3m (225)

a b c (Å): 5.880 5.880 5.880
angles (deg): 90.00 120.00 120.00
Fractional coordinates of all 10 atoms:
O 0.029 0.765 0.765
O 0.501 0.236 0.236
O 0.971 0.235 0.235
O 0.499 0.764 0.764
O 0.500 0.236 0.764
O 0.500 0.764 0.236
Er 0.500 0.500 0.500
Ba 0.000 0.750 0.250
Ba 0.000 0.250 0.750
Mo 0.500 0.000 0.000

***

2.
The following is a PBEsol calculation of a relaxed Ba5Er8Ni4O21 crystal, from Alexandria via LeMat-Bulk.

SG: I4/m (87)

a b c (Å): 5.608 9.932 9.932
angles (deg): 85.43 73.60 73.60
Fractional coordinates of all 38 atoms:
O 0.609 0.407 0.887
O 0.985 0.113 0.407
O 0.202 0.870 0.228
O 0.500 0.000 0.000
O 0.391 0.593 0.113
O 0.300 0.130 0.772
O 0.700 0.870 0.228
O 0.505 0.887 0.593
O 0.430 0.772 0.870
O 0.961 0.672 0.405
O 0.798 0.130 0.772
O 0.039 0.328 0.595
O 0.495 0.113 0.407
O 0.367 0.595 0.672
O 0.928 0.772 0.870
O 0.570 0.228 0.130
O 0.902 0.593 0.113
O 0.015 0.887 0.593
O 0.098 0.407 0.887
O 0.633 0.405 0.328
O 0.072 0.228 0.130
Ni 0.041 0.716 0.201
Ni 0.758 0.201 0.284
Ni 0.242 0.799 0.716
Ni 0.959 0.284 0.799
Er 0.834 0.918 0.414
Er 0.355 0.057 0.232
Er 0.248 0.586 0.918
Er 0.587 0.768 0.057
Er 0.752 0.414 0.082
Er 0.413 0.232 0.943
Er 0.166 0.082 0.586
Er 0.645 0.943 0.768
Ba 0.460 0.679 0.401
Ba 0.000 0.000 0.000
Ba 0.540 0.321 0.599
Ba 0.139 0.401 0.321
Ba 0.861 0.599 0.679

***

3.
The following is a PBEsol calculation of a relaxed BaEr2NiO5 crystal, from Alexandria via LeMat-Bulk.

SG: Immm (71)

a b c (Å): 3.700 5.670 6.529
angles (deg): 115.74 106.46 90.00
Fractional coordinates of all 9 atoms:
Er 0.298 0.798 0.596
Er 0.702 0.202 0.404
O 0.850 0.611 0.699
O 0.500 0.000 0.000
O 0.150 0.912 0.301
O 0.850 0.088 0.699
O 0.150 0.389 0.301
Ni 0.000 0.000 0.000
Ba 0.500 0.500 0.000

***

4.
The following is a PBEsol calculation of a relaxed BaErO3 crystal, from Alexandria via LeMat-Bulk.

SG: Pm-3m (221)

a b c (Å): 4.336 4.336 4.336
angles (deg): 90.00 90.00 90.00
Fractional coordinates of all 5 atoms:
O 0.000 0.500 0.000
O 0.500 0.000 0.000
O 0.000 0.000 0.500
Ba 0.500 0.500 0.500
Er 0.000 0.000 0.000

***

For the records above, the corresponding ΔE_f (raw) values read -2880; -2785; -2766; -2769 meV per atom.
For the records above, the corresponding total magnetic moment values read 0.0; 7.7; 1.2; 1.0 Bohr magnetons per cell.